## CsNiMoO4 (PBE with a Hubbard U)

Data for crystalline CsNiMoO4 at its relaxed geometry.

* E_tot: -80.33 eV for the cell shown
* total moment: 1.00 μB per formula unit

Geometry as POSCAR:
```
CsNiMoO4
1.0
5.369 0.000 -0.491
0.000 6.496 0.000
-2.822 0.000 8.293
O Cs Ni Mo
8 2 2 2
Cartesian
1.462 1.624 6.729
-1.840 3.104 5.824
1.111 4.872 4.019
-1.840 0.143 5.824
1.086 4.872 1.073
4.387 3.391 1.978
1.436 1.624 3.783
4.387 6.352 1.978
1.994 1.624 0.707
0.553 4.872 7.095
2.922 4.872 4.762
-0.375 1.624 3.040
2.470 1.624 5.257
0.077 4.872 2.545
```